Computed, not measured: a geometry-optimized K2Rb2H4Rh structure at the PBE-GGA level of DFT.

Properties
total DFT energy (no corrections) = -2.75 eV/atom
mass density = 2.8 g/cm³
V = 420.9 Å³ per cell

a b c (Å): 6.9148 6.9148 8.8028
angles (deg): 90.00 90.00 90.00
Closest atoms and distances in Å follow each position.
Space group I4/mmm (No. 139)
Symmetry-distinct sites (fractional):
K1 0.0000 0.0000 0.1794 [4 per cell]  1 Rh 2.82, 1 K 3.16
Rb1 0.0000 0.5000 0.2500 [4 per cell]  8 H 3.37, 4 K 3.51
H1 0.1772 0.1772 0.5000 [8 per cell]  1 Rh 1.73
Rh1 0.0000 0.0000 0.5000 [2 per cell]  4 H 1.73